This record from the Alexandria database describes a relaxed K2PrWO6 crystal. The functional is PBE with a Hubbard U.

Lattice parameters (Å, degrees): 6.1265 6.1265 15.0059 90.00 90.00 120.00
With the nearest neighbours (Å) after each atom.
Space group R-3 (No. 148, hexagonal axes)
Inequivalent atoms, fractional coordinates:
K1 0.0000 0.0000 0.2500 [6 per cell]  12 O 3.07
Pr1 0.0000 0.0000 0.0000 [3 per cell]  6 O 2.38
W1 0.0000 0.0000 0.5000 [3 per cell]  6 O 1.95
O1 0.0329 0.5167 0.2418 [18 per cell]  1 W 1.95

Properties
Electronic total energy = -198.0 eV per cell
Total moment = 1.06 μB/f.u.